# 1
{
  "formula": "Nd3Si2IrPt9",
  "functional": "PBE",
  "state": "relaxed",
  "energy_ev_per_cell": -96.54,
  "magmom_total_mub_per_cell": 0.001,
  "mass_density_g_cm3": 12.98,
  "raw_formation_energy_mev_per_atom": -544,
  "cell": [[7.611, 0.000, 0.000], [-3.805, 6.591, 0.000], [0.000, 0.000, 6.214]],
  "species": ["Nd", "Nd", "Nd", "Si", "Si", "Ir", "Pt", "Pt", "Pt", "Pt", "Pt", "Pt", "Pt", "Pt", "Pt"],
  "frac_coords": [[0.333, 0.667, 0.651], [0.000, 0.000, 0.000], [0.667, 0.333, 0.349], [0.333, 0.667, 0.147], [0.667, 0.333, 0.853], [0.000, 0.000, 0.500], [0.826, 0.174, 0.682], [0.826, 0.653, 0.682], [0.347, 0.174, 0.682], [0.653, 0.826, 0.318], [0.174, 0.347, 0.318], [0.174, 0.826, 0.318], [0.500, 0.000, 0.000], [0.000, 0.500, 0.000], [0.500, 0.500, 0.000]]
}

---

# 2
{
  "formula": "Nd2Si4Ir3Pt",
  "functional": "PBE",
  "state": "relaxed",
  "energy_ev_per_cell": -74.17,
  "magmom_total_mub_per_cell": 0.000,
  "mass_density_g_cm3": 11.10,
  "raw_formation_energy_mev_per_atom": -1032,
  "cell": [[4.179, 0.000, 0.000], [0.000, 4.179, 0.000], [0.000, 0.000, 10.045]],
  "species": ["Nd", "Nd", "Si", "Si", "Si", "Si", "Ir", "Ir", "Ir", "Pt"],
  "frac_coords": [[0.500, 0.000, 0.241], [0.000, 0.500, 0.759], [0.500, 0.500, 0.000], [0.000, 0.000, 0.000], [0.500, 0.000, 0.636], [0.000, 0.500, 0.364], [0.000, 0.000, 0.500], [0.500, 0.000, 0.875], [0.000, 0.500, 0.125], [0.500, 0.500, 0.500]]
}

---

# 3
{
  "formula": "NdSm2Ir2Pt",
  "functional": "PBE",
  "state": "relaxed",
  "energy_ev_per_cell": -39.84,
  "formation_enthalpy_0k_ev_per_atom": -0.311,
  "magmom_total_mub_per_cell": 0.000,
  "mass_density_g_cm3": 10.24,
  "cell": [[-0.620, -5.096, -2.291], [4.576, -1.786, 2.733], [-4.977, 1.979, 3.844]],
  "species": ["Nd", "Sm", "Sm", "Ir", "Ir", "Pt"],
  "frac_coords": [[0.500, 0.500, 0.000], [0.250, 0.750, 0.500], [0.750, 0.250, 0.500], [0.756, 0.756, 0.511], [0.244, 0.244, 0.489], [0.000, 0.000, 0.000]]
}

---

# 4
{
  "formula": "Nd2Sn4IrPt3",
  "functional": "PBE",
  "state": "relaxed",
  "energy_ev_per_cell": -60.10,
  "formation_enthalpy_0k_ev_per_atom": -0.757,
  "magmom_total_mub_per_cell": 0.000,
  "mass_density_g_cm3": 11.39,
  "cell": [[4.532, 0.000, 0.000], [0.000, 4.532, 0.000], [0.000, 0.000, 10.931]],
  "species": ["Nd", "Nd", "Sn", "Sn", "Sn", "Sn", "Ir", "Pt", "Pt", "Pt"],
  "frac_coords": [[0.500, 0.000, 0.260], [0.000, 0.500, 0.740], [0.500, 0.500, 0.000], [0.000, 0.000, 0.000], [0.500, 0.000, 0.629], [0.000, 0.500, 0.371], [0.500, 0.500, 0.500], [0.000, 0.000, 0.500], [0.500, 0.000, 0.867], [0.000, 0.500, 0.133]]
}

---

# 5
{
  "formula": "NdThIrPt",
  "functional": "PBE",
  "state": "relaxed",
  "energy_ev_per_cell": -31.28,
  "formation_enthalpy_0k_ev_per_atom": -1.048,
  "magmom_total_mub_per_cell": 0.000,
  "mass_density_g_cm3": 13.23,
  "de_polymorph_mev_per_atom": 0,
  "cell": [[3.912, 0.000, 0.000], [0.000, 4.317, 0.000], [-1.956, 0.000, 5.674]],
  "species": ["Nd", "Th", "Ir", "Pt"],
  "frac_coords": [[0.141, 0.000, 0.283], [0.866, 0.500, 0.732], [0.403, 0.000, 0.805], [0.590, 0.500, 0.180]]
}

---

# 6
{
  "formula": "NdThIrPt",
  "functional": "PBE",
  "state": "relaxed",
  "energy_ev_per_cell": -30.46,
  "formation_enthalpy_0k_ev_per_atom": -0.841,
  "magmom_total_mub_per_cell": 0.000,
  "mass_density_g_cm3": 13.72,
  "de_polymorph_mev_per_atom": 206,
  "cell": [[5.075, 0.000, 0.000], [2.538, 4.395, 0.000], [2.538, 1.465, 4.144]],
  "species": ["Ir", "Nd", "Pt", "Th"],
  "frac_coords": [[0.250, 0.250, 0.250], [0.500, 0.500, 0.500], [0.750, 0.750, 0.750], [0.000, 0.000, 0.000]]
}

---

# 7
{
  "formula": "NdYIrPt",
  "functional": "PBE",
  "state": "relaxed",
  "energy_ev_per_cell": -29.69,
  "formation_enthalpy_0k_ev_per_atom": -0.889,
  "magmom_total_mub_per_cell": 0.000,
  "mass_density_g_cm3": 11.76,
  "cell": [[-3.294, -2.465, -2.816], [0.009, -4.985, -0.061], [-3.722, -2.526, 2.150]],
  "species": ["Y", "Ir", "Nd", "Pt"],
  "frac_coords": [[0.000, 0.000, 0.000], [0.750, 0.750, 0.750], [0.500, 0.500, 0.500], [0.250, 0.250, 0.250]]
}

---

# 8
{
  "formula": "Nd2ZnIr2Pt5",
  "functional": "PBE",
  "state": "relaxed",
  "energy_ev_per_cell": -128.67,
  "formation_enthalpy_0k_ev_per_atom": -0.560,
  "magmom_total_mub_per_cell": 0.000,
  "mass_density_g_cm3": 15.24,
  "cell": [[-1.814, -3.378, -1.265], [8.547, -4.373, -0.579], [-0.886, -2.938, 9.115]],
  "species": ["Nd", "Nd", "Nd", "Nd", "Zn", "Zn", "Ir", "Ir", "Ir", "Ir", "Pt", "Pt", "Pt", "Pt", "Pt", "Pt", "Pt", "Pt", "Pt", "Pt"],
  "frac_coords": [[0.000, 0.670, 0.170], [0.000, 0.330, 0.830], [0.000, 0.170, 0.330], [0.000, 0.830, 0.670], [0.000, 0.000, 0.000], [0.000, 0.500, 0.500], [0.000, 0.129, 0.629], [0.000, 0.871, 0.371], [0.000, 0.629, 0.871], [0.000, 0.371, 0.129], [0.500, 0.197, 0.060], [0.500, 0.803, 0.940], [0.500, 0.060, 0.803], [0.500, 0.697, 0.440], [0.500, 0.940, 0.197], [0.500, 0.303, 0.560], [0.500, 0.560, 0.697], [0.500, 0.440, 0.303], [0.500, 0.500, 0.000], [0.500, 0.000, 0.500]]
}

---

# 9
{
  "formula": "NdPu4Ir4",
  "functional": "PBE",
  "state": "relaxed",
  "energy_ev_per_cell": -201.69,
  "formation_enthalpy_0k_ev_per_atom": -0.367,
  "magmom_total_mub_per_cell": 38.448,
  "mass_density_g_cm3": 13.87,
  "cell": [[5.550, 0.000, 0.000], [0.000, 9.028, 0.000], [0.000, 0.000, 9.028]],
  "species": ["Nd", "Nd", "Pu", "Pu", "Pu", "Pu", "Pu", "Pu", "Pu", "Pu", "Ir", "Ir", "Ir", "Ir", "Ir", "Ir", "Ir", "Ir"],
  "frac_coords": [[0.000, 0.000, 0.000], [0.500, 0.500, 0.500], [0.498, 0.314, 0.896], [0.998, 0.604, 0.814], [0.498, 0.686, 0.104], [0.002, 0.186, 0.604], [0.502, 0.896, 0.686], [0.002, 0.814, 0.396], [0.998, 0.396, 0.186], [0.502, 0.104, 0.314], [0.502, 0.806, 0.384], [0.502, 0.194, 0.616], [0.002, 0.884, 0.694], [0.998, 0.306, 0.884], [0.998, 0.694, 0.116], [0.498, 0.384, 0.194], [0.498, 0.616, 0.806], [0.002, 0.116, 0.306]]
}

---

# 10
{
  "formula": "NdPuIr2",
  "functional": "PBE",
  "state": "relaxed",
  "energy_ev_per_cell": -38.60,
  "formation_enthalpy_0k_ev_per_atom": -0.444,
  "magmom_total_mub_per_cell": 4.504,
  "mass_density_g_cm3": 15.11,
  "cell": [[-1.883, 1.388, 4.343], [-2.319, -3.293, 2.849], [2.088, -1.535, 4.198]],
  "species": ["Ir", "Ir", "Nd", "Pu"],
  "frac_coords": [[0.250, 0.250, 0.250], [0.750, 0.750, 0.750], [0.500, 0.500, 0.500], [0.000, 0.000, 0.000]]
}

---

# 11
{
  "formula": "Nd2PuIr3",
  "functional": "PBE",
  "state": "relaxed",
  "energy_ev_per_cell": -52.67,
  "formation_enthalpy_0k_ev_per_atom": -0.370,
  "magmom_total_mub_per_cell": 4.209,
  "mass_density_g_cm3": 12.79,
  "cell": [[-3.117, -2.326, 1.763], [3.937, -3.449, 2.409], [-0.296, 6.324, 2.648]],
  "species": ["Nd", "Nd", "Pu", "Ir", "Ir", "Ir"],
  "frac_coords": [[0.671, 0.171, 0.341], [0.329, 0.829, 0.659], [0.000, 0.500, 0.000], [0.362, 0.362, 0.723], [0.000, 0.000, 0.000], [0.638, 0.638, 0.277]]
}

---

# 12
{
  "formula": "NdPu2Ir",
  "functional": "PBE",
  "state": "relaxed",
  "energy_ev_per_cell": -42.91,
  "formation_enthalpy_0k_ev_per_atom": -0.155,
  "magmom_total_mub_per_cell": 11.044,
  "mass_density_g_cm3": 13.47,
  "de_polymorph_mev_per_atom": 125,
  "cell": [[-1.403, 3.285, 0.339], [-3.281, -1.428, 0.263], [0.827, -0.456, 7.835]],
  "species": ["Ir", "Nd", "Pu", "Pu"],
  "frac_coords": [[0.500, 0.500, 0.000], [0.500, 0.500, 0.500], [0.000, 0.000, 0.808], [0.000, 0.000, 0.192]]
}